# 1
A plane-wave DFT calculation with PBE-GGA was carried out for Sc2Al3Au after structural relaxation.

abc: 9.1874 5.3817 5.3444
angles: 90.00 124.50 90.00
Space group C2/m (No. 12)
Symmetry-distinct sites (fractional):
Sc1 0.1244 0.0000 0.3760 [4 per cell]
Al1 0.0000 0.5000 0.5000 [2 per cell]
Al2 0.2500 0.2500 0.0000 [4 per cell]
Au1 0.0000 0.5000 0.0000 [2 per cell]

As for the formation enthalpy at 0 K: -606.3 meV per atom.

=====

# 2
A plane-wave DFT calculation with PBE-GGA was carried out for RbLaMg2Ir after structural relaxation.

abc: 5.4072 5.4072 5.3825
angles: 90.00 90.00 90.00
Space group P4/mmm (No. 123)
Symmetry-distinct sites (fractional):
Rb1 0.0000 0.0000 0.0000 [1 per cell]
La1 0.5000 0.5000 0.0000 [1 per cell]
Mg1 0.0000 0.5000 0.5000 [2 per cell]
Ir1 0.5000 0.5000 0.5000 [1 per cell]

As for the formation enthalpy at 0 K: -186.3 meV per atom.

=====

# 3
A plane-wave DFT calculation with PBE-GGA was carried out for Rb3LaDy2Te6 after structural relaxation.

abc: 7.9659 13.7981 8.9537
angles: 90.00 107.30 90.00
Space group C2/m (No. 12)
Symmetry-distinct sites (fractional):
Rb1 0.0000 0.0000 0.0000 [2 per cell]
Rb2 0.0000 0.3360 0.0000 [4 per cell]
La1 0.0000 0.5000 0.5000 [2 per cell]
Dy1 0.0000 0.1670 0.5000 [4 per cell]
Te1 0.2225 0.0000 0.7008 [4 per cell]
Te2 0.2396 0.3279 0.7017 [8 per cell]

Its uncorrected formation energy is -1.42 eV per atom.

=====

# 4
A plane-wave DFT calculation with PBE-GGA was carried out for YbGaGe after structural relaxation.

abc: 4.2437 4.2437 16.6257
angles: 90.00 90.00 120.00
Space group P6_3/mmc (No. 194)
Symmetry-distinct sites (fractional):
Yb1 0.0000 0.0000 0.0000 [2 per cell]
Yb2 0.0000 0.0000 0.2500 [2 per cell]
Ga1 0.3333 0.6667 0.1511 [4 per cell]
Ge1 0.3333 0.6667 0.6103 [4 per cell]

As for the formation enthalpy at 0 K: -584.9 meV per atom.

=====

| no. | calculated total energy (eV/cell) |
| --- | --- |
| 1 | -61.6 |
| 2 | -18.9 |
| 3 | -105.8 |
| 4 | -43.7 |